Below is an optimized crystal structure of MnAlAg4, with properties calculated at the PBE level.

Lattice parameters (Å, degrees): 7.677 7.677 7.677 90.00 90.00 90.00
Space group F-43m (No. 216)
Symmetry-distinct sites (fractional):
Mn (0.000, 0.000, 0.000) x4
Al (0.250, 0.250, 0.250) x4
Ag (0.125, 0.125, 0.625) x16

Values from the calculation:
Its formation energy is 0.307 eV per atom. As for the total magnetization: 4.48 μB per formula unit. Its electronic total energy is -3.75 eV/atom. The value obtained for the volume is 18.85 Å³ per atom.